CdHg2Pb at its PBEsol-relaxed geometry. Source: Alexandria, functional SCAN.

Output
* density of states at the Fermi level: 2.95 states/eV per cell
* energy relative to the elements: 0.8 kcal/mol of atoms
* total magnetic moment: 0.00 μB/cell
* raw total energy: -60.595 eV/atom

Cell and atoms, written as CIF:
```
data_CdHg2Pb
_cell_length_a 9.759
_cell_length_b 3.489
_cell_length_c 5.908
_cell_angle_alpha 90.00
_cell_angle_beta 104.06
_cell_angle_gamma 90.00
_symmetry_space_group_name_H-M 'C 1 2/m 1'
_symmetry_Int_Tables_number 12
loop_
_symmetry_equiv_pos_as_xyz
'x,y,z'
'-x,-y,-z'
'-x,y,-z'
'x,-y,z'
'x+1/2,y+1/2,z'
'-x+1/2,-y+1/2,-z'
'-x+1/2,y+1/2,-z'
'x+1/2,-y+1/2,z'
loop_
_atom_site_label
_atom_site_type_symbol
_atom_site_fract_x
_atom_site_fract_y
_atom_site_fract_z
Cd1 Cd 0.000 0.000 0.000
Hg1 Hg 0.242 0.500 0.227
Pb1 Pb 0.000 0.500 0.500
```